# 1
# MgAg2Pd GGA-PBE optimized geometry
data_MgAg2Pd
_cell_length_a 3.8809
_cell_length_b 3.8809
_cell_length_c 19.8824
_cell_angle_alpha 90.00
_cell_angle_beta 90.00
_cell_angle_gamma 90.00
_symmetry_space_group_name_H-M 'P 1'
_symmetry_Int_Tables_number 1
loop_
_symmetry_equiv_pos_as_xyz
'x,y,z'
loop_
_atom_site_label
_atom_site_fract_x
_atom_site_fract_y
_atom_site_fract_z
Mg1 0.0000 0.0000 0.0000
Mg2 0.0000 0.5000 0.2500
Mg3 0.5000 0.0000 0.7500
Mg4 0.5000 0.5000 0.5000
Ag1 0.2473 0.2500 0.6250
Ag2 0.2500 0.7473 0.8750
Ag3 0.2500 0.7527 0.3750
Ag4 0.2527 0.2500 0.1250
Ag5 0.7473 0.7500 0.1250
Ag6 0.7500 0.2473 0.3750
Ag7 0.7500 0.2527 0.8750
Ag8 0.7527 0.7500 0.6250
Pd1 0.0000 0.0000 0.5000
Pd2 0.0000 0.5000 0.7500
Pd3 0.5000 0.0000 0.2500
Pd4 0.5000 0.5000 0.0000
# * formation enthalpy at 0 K: -0.07 eV per atom
# * spin magnetization: 0.00 μB per cell

***

# 2
# Mg3AgPd2 GGA-PBE optimized geometry
data_Mg3AgPd2
_cell_length_a 3.1903
_cell_length_b 3.1903
_cell_length_c 9.9918
_cell_angle_alpha 90.00
_cell_angle_beta 90.00
_cell_angle_gamma 90.00
_symmetry_space_group_name_H-M 'P 1'
_symmetry_Int_Tables_number 1
loop_
_symmetry_equiv_pos_as_xyz
'x,y,z'
loop_
_atom_site_label
_atom_site_fract_x
_atom_site_fract_y
_atom_site_fract_z
Mg1 0.0000 0.0000 0.0000
Mg2 0.0000 0.0000 0.3165
Mg3 0.0000 0.0000 0.6835
Ag1 0.5000 0.5000 0.5000
Pd1 0.5000 0.5000 0.1609
Pd2 0.5000 0.5000 0.8391
# * formation enthalpy at 0 K: -0.57 eV per atom
# * spin magnetization: 0.00 μB per cell